Entry from the Alexandria database: an optimized crystal structure of ZrSc2Mn (PBE-GGA).

Properties
The energy above the most stable polymorph in this dataset comes out at 0.3448 eV/atom. The energy of formation from the pure elements comes out at 1.5 eV per formula unit. As for the density of states at the Fermi level: 42.8 states/eV per cell. The crystal system is cubic.

Unit cell a=6.7504 b=6.7504 c=6.7504 alpha=90.00 beta=90.00 gamma=90.00
Closest atoms and distances in Å follow each position.
Space group Fm-3m (No. 225)
Symmetry-distinct sites (fractional):
Zr  0.0000  0.0000  0.0000 (multiplicity 4)  8 Sc 2.92
Sc  0.2500  0.2500  0.2500 (multiplicity 8)  4 Zr 2.92, 4 Mn 2.92
Mn  0.0000  0.0000  0.5000 (multiplicity 4)  8 Sc 2.92


Entry from the Alexandria database: an optimized crystal structure of Si2N (PBE-GGA).

Properties
The energy above the most stable polymorph in this dataset comes out at 0.0000 eV/atom. As for the density of states at the Fermi level: 1.8 states/eV per cell. The crystal system is orthorhombic.

Unit cell a=2.8338 b=13.9581 c=4.6394 alpha=90.00 beta=90.00 gamma=90.00
Closest atoms and distances in Å follow each position.
Space group Cmc2_1 (No. 36)
Symmetry-distinct sites (fractional):
Si  0.0000  0.0322  0.0000 (multiplicity 4)  3 Si 2.37-2.49
Si  0.0000  0.1993  0.9091 (multiplicity 4)  3 N 1.73-1.74
N  0.0000  0.2714  0.2155 (multiplicity 4)  3 Si 1.73-1.74


Entry from the Alexandria database: an optimized crystal structure of Mg3C (PBE-GGA).

Properties
The energy above the most stable polymorph in this dataset comes out at 0.0000 eV/atom. The energy of formation from the pure elements comes out at 1.3 eV per formula unit. As for the density of states at the Fermi level: 2.3 states/eV per cell. The crystal system is orthorhombic.

Unit cell a=4.3043 b=10.1802 c=3.5212 alpha=90.00 beta=90.00 gamma=90.00
Closest atoms and distances in Å follow each position.
Space group Cmmm (No. 65)
Symmetry-distinct sites (fractional):
Mg  0.0000  0.0000  0.0000 (multiplicity 2)  2 C 2.15
Mg  0.0000  0.3626  0.5000 (multiplicity 4)  2 C 2.25
C  0.0000  0.5000  0.0000 (multiplicity 2)  6 Mg 2.15-2.25


Entry from the Alexandria database: an optimized crystal structure of Na2NpGaCl6 (PBE-GGA).

Properties
The final energy is -135.41 eV per cell. As for the density of states at the Fermi level: 16.0 states/eV per cell. The crystal system is trigonal.

Unit cell a=7.1783 b=7.1783 c=19.7186 alpha=90.00 beta=90.00 gamma=120.00
Closest atoms and distances in Å follow each position.
Space group R3 (No. 146, hexagonal axes)
Symmetry-distinct sites (fractional):
Na  0.0000  0.0000  0.0000 (multiplicity 3)  6 Cl 2.81-2.92
Na  0.0000  0.0000  0.4910 (multiplicity 3)  6 Cl 2.84-2.95
Np  0.0000  0.0000  0.6877 (multiplicity 3)  6 Cl 2.74-2.76
Ga  0.0000  0.0000  0.1992 (multiplicity 3)  6 Cl 2.96-3.14
Cl  0.0197  0.3390  0.7578 (multiplicity 9)  1 Np 2.74, 2 Na 2.84-2.92
Cl  0.0234  0.7211  0.5964 (multiplicity 9)  1 Np 2.76, 2 Na 2.81-2.95, 1 Ga 2.96


Entry from the Alexandria database: an optimized crystal structure of SrGdIn (PBE-GGA).

Properties
The energy above the most stable polymorph in this dataset comes out at 0.0000 eV/atom. The energy of formation from the pure elements comes out at -0.7 eV per formula unit. As for the density of states at the Fermi level: 9.2 states/eV per cell. The crystal system is tetragonal.

Unit cell a=3.8363 b=3.8363 c=14.1580 alpha=90.00 beta=90.00 gamma=90.00
Closest atoms and distances in Å follow each position.
Space group I4mm (No. 107)
Symmetry-distinct sites (fractional):
Sr  0.0000  0.0000  0.0000 (multiplicity 2)  4 In 3.53, 4 Sr 3.84
Gd  0.0000  0.0000  0.2855 (multiplicity 2)  4 In 3.25
In  0.0000  0.0000  0.6594 (multiplicity 2)  4 Gd 3.25, 4 Sr 3.53


Entry from the Alexandria database: an optimized crystal structure of SbRuPb2 (PBE-GGA).

Properties
The final energy is -39.91 eV per cell. As for the density of states at the Fermi level: 6.3 states/eV per cell. The crystal system is orthorhombic.

Unit cell a=3.3079 b=4.6898 c=13.0774 alpha=90.00 beta=90.00 gamma=90.00
Closest atoms and distances in Å follow each position.
Space group Imm2 (No. 44)
Symmetry-distinct sites (fractional):
Sb  0.0000  0.0000  0.0000 (multiplicity 2)  2 Ru 2.68
Ru  0.0000  0.5000  0.3383 (multiplicity 2)  2 Sb 2.68, 4 Pb 2.89
Pb  0.0000  0.0000  0.6320 (multiplicity 2)  2 Ru 3.16, 4 Pb 3.31-3.33, 4 Sb 3.35
Pb  0.0000  0.5000  0.8123 (multiplicity 2)  4 Ru 2.89


Entry from the Alexandria database: an optimized crystal structure of ZnRh3I (PBE-GGA).

Properties
The energy above the most stable polymorph in this dataset comes out at 0.1108 eV/atom. As for the density of states at the Fermi level: 7.1 states/eV per cell. The crystal system is cubic.

Unit cell a=4.8215 b=4.8215 c=4.8215 alpha=90.00 beta=90.00 gamma=90.00
Closest atoms and distances in Å follow each position.
Space group Pm-3m (No. 221)
Symmetry-distinct sites (fractional):
Zn  0.0000  0.0000  0.0000 (multiplicity 1)  12 Rh 3.41
Rh  0.0000  0.5000  0.5000 (multiplicity 3)  2 I 2.41
I  0.5000  0.5000  0.5000 (multiplicity 1)  6 Rh 2.41


Entry from the Alexandria database: an optimized crystal structure of CaHfP2O (PBE-GGA).

Properties
The energy above the most stable polymorph in this dataset comes out at 0.0000 eV/atom. As for the density of states at the Fermi level: 6.5 states/eV per cell. The crystal system is tetragonal.

Unit cell a=5.1623 b=5.1623 c=3.9908 alpha=90.00 beta=90.00 gamma=90.00
Closest atoms and distances in Å follow each position.
Space group P4/mmm (No. 123)
Symmetry-distinct sites (fractional):
Ca  0.0000  0.0000  0.0000 (multiplicity 1)  8 P 3.26, 4 O 3.65
Hf  0.5000  0.5000  0.5000 (multiplicity 1)  2 O 2.00
P  0.0000  0.5000  0.5000 (multiplicity 2)  2 Hf 2.58
O  0.5000  0.5000  0.0000 (multiplicity 1)  2 Hf 2.00


Entry from the Alexandria database: an optimized crystal structure of TiCuGeAu (PBE-GGA).

Properties
The energy of formation from the pure elements comes out at -0.7 eV per formula unit. As for the density of states at the Fermi level: 11.7 states/eV per cell. The crystal system is cubic.

Unit cell a=6.3256 b=6.3256 c=6.3256 alpha=90.00 beta=90.00 gamma=90.00
Closest atoms and distances in Å follow each position.
Space group F-43m (No. 216)
Symmetry-distinct sites (fractional):
Ti  0.0000  0.0000  0.0000 (multiplicity 4)  4 Au 2.74, 4 Ge 2.74
Cu  0.0000  0.0000  0.5000 (multiplicity 4)  4 Ge 2.74, 4 Au 2.74
Ge  0.2500  0.2500  0.7500 (multiplicity 4)  4 Cu 2.74, 4 Ti 2.74
Au  0.2500  0.2500  0.2500 (multiplicity 4)  4 Cu 2.74, 4 Ti 2.74